No. 1
# AlHgPtCl2

A geometry-optimized AlHgPtCl2 structure (PBE, the Alexandria database).

The structure in POSCAR format:
```
AlHgPtCl2
1.0
4.554 0.000 0.000
0.000 5.348 0.000
0.000 0.000 4.554
Al Hg Pt Cl
1 1 1 2
Direct
0.000 0.000 0.000
0.500 0.500 0.500
0.000 0.500 0.000
0.000 0.000 0.500
0.500 0.000 0.000
```

Properties
Its total energy is -2.96 eV/atom. The calculation puts the formation energy (no corrections) at -0.21 eV/atom.

No. 2
# RbAl2HgCl8

A geometry-optimized RbAl2HgCl8 structure (PBE, the Alexandria database).

The structure in POSCAR format:
```
RbAl2HgCl8
1.0
-0.009 6.467 -1.821
-5.820 3.280 -0.717
-1.612 5.864 8.439
Rb Al Hg Cl
1 2 1 8
Direct
0.500 0.500 0.500
0.247 0.247 0.260
0.753 0.753 0.740
0.000 0.000 0.000
0.172 0.172 0.483
0.556 0.307 0.189
0.828 0.828 0.517
0.948 0.556 0.189
0.052 0.444 0.811
0.307 0.948 0.189
0.693 0.052 0.811
0.444 0.693 0.811
```

Properties
Its total energy is -3.38 eV/atom. The calculation puts the formation energy (no corrections) at -1.42 eV/atom.

No. 3
# AlHgSCl2

A geometry-optimized AlHgSCl2 structure (PBE, the Alexandria database).

The structure in POSCAR format:
```
AlHgSCl2
1.0
-4.256 0.460 -1.834
0.305 -4.290 -1.785
-1.984 -1.863 4.136
S Al Hg Cl
1 1 1 2
Direct
0.000 0.000 0.500
0.000 0.000 0.000
0.500 0.500 0.500
0.000 0.500 0.000
0.500 0.000 0.000
```

Properties
Its relative energy among the computed polymorphs is 0 kJ/mol of formula units. Its total energy is -2.94 eV/atom. The calculation puts the formation energy (no corrections) at -0.57 eV/atom.

No. 4
# ScAlHgCl2

A geometry-optimized ScAlHgCl2 structure (PBE, the Alexandria database).

The structure in POSCAR format:
```
ScAlHgCl2
1.0
-0.345 3.145 -3.518
3.445 -3.491 -3.458
-3.859 -2.219 -1.605
Sc Al Hg Cl
1 1 1 2
Direct
0.000 0.500 0.000
0.000 0.000 0.000
0.500 0.500 0.500
0.000 0.000 0.500
0.500 0.000 0.000
```

Properties
Its total energy is -3.06 eV/atom. The calculation puts the formation energy (no corrections) at -0.24 eV/atom.

No. 5
# SrAl2HgCl

A geometry-optimized SrAl2HgCl structure (PBE, the Alexandria database).

The structure in POSCAR format:
```
SrAl2HgCl
1.0
4.939 0.000 0.000
0.000 6.706 0.000
0.000 0.000 4.939
Sr Al Hg Cl
1 2 1 1
Direct
0.500 0.500 0.500
0.000 0.000 0.500
0.500 0.000 0.000
0.000 0.000 0.000
0.000 0.500 0.000
```

Properties
Its total energy is -2.36 eV/atom. The calculation puts the formation energy (no corrections) at -0.10 eV/atom.

No. 6
# AlTlHgCl4

A geometry-optimized AlTlHgCl4 structure (PBE, the Alexandria database).

The structure in POSCAR format:
```
AlTlHgCl4
1.0
-6.222 -1.326 -6.166
-7.628 -3.253 3.118
-5.779 5.986 0.367
Al Tl Hg Cl
2 2 2 8
Direct
0.684 0.684 0.715
0.316 0.316 0.285
0.296 0.296 0.795
0.704 0.704 0.205
0.063 0.063 0.134
0.937 0.937 0.866
0.184 0.184 0.526
0.816 0.816 0.474
0.140 0.502 0.125
0.440 0.440 0.355
0.498 0.860 0.875
0.502 0.140 0.125
0.560 0.560 0.645
0.860 0.498 0.875
```

Properties
Its total energy is -3.18 eV/atom. The calculation puts the formation energy (no corrections) at -1.20 eV/atom.